# 1
# PBE-GGA MgPt2Se, optimized geometry
data_MgPt2Se
_space_group_name_H-M_alt 'F -4 3 m'
_space_group_IT_number 216
_space_group_name_Hall 'F -4 2 3'
_cell_length_a 6.5017
_cell_length_b 6.5017
_cell_length_c 6.5017
_cell_angle_alpha 90.00
_cell_angle_beta 90.00
_cell_angle_gamma 90.00
loop_
_atom_site_label
_atom_site_type_symbol
_atom_site_fract_x
_atom_site_fract_y
_atom_site_fract_z
Mg1 Mg 0.0000 0.0000 0.0000
Pt1 Pt 0.0000 0.0000 0.5000
Pt2 Pt 0.2500 0.2500 0.7500
Se1 Se 0.2500 0.2500 0.2500
# - total magnetic moment (μB per atom) = 0.00
# - ΔE_f (raw) (eV/atom) = -0.13
# - density of states at the Fermi level (states/eV/cell) = 18.1
# - V (Å³/f.u.) = 69

=====

# 2
# PBE-GGA SrZn2Pt, optimized geometry
data_SrZn2Pt
_space_group_name_H-M_alt 'P 4/m m m'
_space_group_IT_number 123
_space_group_name_Hall '-P 4 2'
_cell_length_a 3.4590
_cell_length_b 3.4590
_cell_length_c 6.8220
_cell_angle_alpha 90.00
_cell_angle_beta 90.00
_cell_angle_gamma 90.00
loop_
_atom_site_label
_atom_site_type_symbol
_atom_site_fract_x
_atom_site_fract_y
_atom_site_fract_z
Sr1 Sr 0.0000 0.0000 0.0000
Zn1 Zn 0.5000 0.5000 0.3159
Pt1 Pt 0.0000 0.0000 0.5000
# - energy relative to the elements (eV/atom) = -0.32
# - total magnetic moment (μB per atom) = 0.00
# - density of states at the Fermi level (states/eV/cell) = 1.2
# - V (Å³/f.u.) = 82

=====

# 3
# PBE-GGA CdB2Pb, optimized geometry
data_CdB2Pb
_space_group_name_H-M_alt 'I -4 2 d'
_space_group_IT_number 122
_space_group_name_Hall 'I -4 2bw'
_cell_length_a 5.5982
_cell_length_b 5.5982
_cell_length_c 10.2607
_cell_angle_alpha 90.00
_cell_angle_beta 90.00
_cell_angle_gamma 90.00
loop_
_atom_site_label
_atom_site_type_symbol
_atom_site_fract_x
_atom_site_fract_y
_atom_site_fract_z
Cd1 Cd 0.0000 0.0000 0.0000
B1 B 0.2468 0.2500 0.1250
Pb1 Pb 0.0000 0.0000 0.5000
# - energy relative to the elements (eV/atom) = 1.38
# - total magnetic moment (μB per atom) = 0.00
# - density of states at the Fermi level (states/eV/cell) = 8.4
# - V (Å³/f.u.) = 80

=====

# 4
# PBE-GGA PrYInPb, optimized geometry
data_PrYInPb
_space_group_name_H-M_alt 'F -4 3 m'
_space_group_IT_number 216
_space_group_name_Hall 'F -4 2 3'
_cell_length_a 7.7618
_cell_length_b 7.7618
_cell_length_c 7.7618
_cell_angle_alpha 90.00
_cell_angle_beta 90.00
_cell_angle_gamma 90.00
loop_
_atom_site_label
_atom_site_type_symbol
_atom_site_fract_x
_atom_site_fract_y
_atom_site_fract_z
Pr1 Pr 0.0000 0.0000 0.0000
Y1 Y 0.0000 0.0000 0.5000
In1 In 0.2500 0.2500 0.2500
Pb1 Pb 0.2500 0.2500 0.7500
# - energy relative to the elements (eV/atom) = -0.45
# - total magnetic moment (μB per atom) = 0.00
# - density of states at the Fermi level (states/eV/cell) = 11.0
# - V (Å³/f.u.) = 117

=====

# 5
# PBE-GGA NaZn2Re, optimized geometry
data_NaZn2Re
_space_group_name_H-M_alt 'F m -3 m'
_space_group_IT_number 225
_space_group_name_Hall '-F 4 2 3'
_cell_length_a 6.3790
_cell_length_b 6.3790
_cell_length_c 6.3790
_cell_angle_alpha 90.00
_cell_angle_beta 90.00
_cell_angle_gamma 90.00
loop_
_atom_site_label
_atom_site_type_symbol
_atom_site_fract_x
_atom_site_fract_y
_atom_site_fract_z
Na1 Na 0.0000 0.0000 0.0000
Zn1 Zn 0.2500 0.2500 0.2500
Re1 Re 0.0000 0.0000 0.5000
# - energy relative to the elements (eV/atom) = 0.64
# - total magnetic moment (μB per atom) = 0.41
# - density of states at the Fermi level (states/eV/cell) = 9.1
# - V (Å³/f.u.) = 65

=====

# 6
# PBE-GGA Li5Eu3I12, optimized geometry
data_Li5Eu3I12
_space_group_name_H-M_alt 'I a -3 d'
_space_group_IT_number 230
_space_group_name_Hall '-I 4bd 2c 3'
_cell_length_a 17.9095
_cell_length_b 17.9095
_cell_length_c 17.9095
_cell_angle_alpha 90.00
_cell_angle_beta 90.00
_cell_angle_gamma 90.00
loop_
_atom_site_label
_atom_site_type_symbol
_atom_site_fract_x
_atom_site_fract_y
_atom_site_fract_z
Li1 Li 0.0000 0.0000 0.0000
Li2 Li 0.0000 0.2500 0.3750
Eu1 Eu 0.0000 0.2500 0.1250
I1 I 0.0280 0.0624 0.6521
# - total magnetic moment (μB per atom) = 1.00
# - ΔE_f (raw) (eV/atom) = -1.31
# - density of states at the Fermi level (states/eV/cell) = 320.8
# - V (Å³/f.u.) = 718

=====

# 7
# PBE-GGA Pm3BiTe, optimized geometry
data_Pm3BiTe
_space_group_name_H-M_alt 'C 1 2/c 1'
_space_group_IT_number 15
_cell_length_a 14.8486
_cell_length_b 12.0001
_cell_length_c 7.8397
_cell_angle_alpha 90.00
_cell_angle_beta 91.95
_cell_angle_gamma 90.00
loop_
_space_group_symop_operation_xyz
'x,y,z'
'-x,-y,-z'
'-x,y,-z+1/2'
'x,-y,z+1/2'
'x+1/2,y+1/2,z'
'-x+1/2,-y+1/2,-z'
'-x+1/2,y+1/2,-z+1/2'
'x+1/2,-y+1/2,z+1/2'
loop_
_atom_site_label
_atom_site_type_symbol
_atom_site_fract_x
_atom_site_fract_y
_atom_site_fract_z
Pm1 Pm 0.1000 0.0520 0.0959
Pm2 Pm 0.1084 0.2554 0.4235
Pm3 Pm 0.1203 0.3779 0.9295
Bi1 Bi 0.2427 0.4312 0.6051
Te1 Te 0.0000 0.1700 0.7500
Te2 Te 0.0000 0.4471 0.2500
# - total magnetic moment (μB per atom) = 0.00
# - ΔE_f (raw) (eV/atom) = -0.78
# - density of states at the Fermi level (states/eV/cell) = 33.1
# - V (Å³/f.u.) = 175

=====

# 8
# PBE-GGA Rb3H6Pt, optimized geometry
data_Rb3H6Pt
_space_group_name_H-M_alt 'P n n m'
_space_group_IT_number 58
_cell_length_a 6.3330
_cell_length_b 8.9006
_cell_length_c 6.3347
_cell_angle_alpha 90.00
_cell_angle_beta 90.00
_cell_angle_gamma 90.00
loop_
_space_group_symop_operation_xyz
'x,y,z'
'-x,-y,-z'
'-x,-y,z'
'x,y,-z'
'x+1/2,-y+1/2,-z+1/2'
'-x+1/2,y+1/2,z+1/2'
'-x+1/2,y+1/2,-z+1/2'
'x+1/2,-y+1/2,z+1/2'
loop_
_atom_site_label
_atom_site_type_symbol
_atom_site_fract_x
_atom_site_fract_y
_atom_site_fract_z
Rb1 Rb 0.0000 0.0000 0.0000
Rb2 Rb 0.0006 0.2500 0.5000
H1 H 0.0025 0.3098 0.0000
H2 H 0.1898 0.5011 0.1897
Pt1 Pt 0.0000 0.5000 0.0000
# - total magnetic moment (μB per atom) = 0.00
# - E (eV/f.u.) = -31.587
# - density of states at the Fermi level (states/eV/cell) = 6.3
# - V (Å³/f.u.) = 179

=====

# 9
# PBE-GGA LaPr3Ru8, optimized geometry
data_LaPr3Ru8
_space_group_name_H-M_alt 'R 3 m'
_space_group_IT_number 160
_space_group_name_Hall 'R 3 -2"'
_cell_length_a 5.4497
_cell_length_b 5.4497
_cell_length_c 26.7907
_cell_angle_alpha 90.00
_cell_angle_beta 90.00
_cell_angle_gamma 120.00
loop_
_atom_site_label
_atom_site_type_symbol
_atom_site_fract_x
_atom_site_fract_y
_atom_site_fract_z
La1 La 0.0000 0.0000 0.0000
Pr1 Pr 0.0000 0.0000 0.3745
Pr2 Pr 0.0000 0.0000 0.4995
Pr3 Pr 0.0000 0.0000 0.8753
Ru1 Ru 0.0000 0.0000 0.1812
Ru2 Ru 0.0000 0.0000 0.6814
Ru3 Ru 0.0093 0.5046 0.9359
Ru4 Ru 0.0111 0.5056 0.4368
# - energy relative to the elements (eV/atom) = -0.10
# - total magnetic moment (μB per atom) = 0.00
# - density of states at the Fermi level (states/eV/cell) = 54.2
# - V (Å³/f.u.) = 230

=====

# 10
# PBE-GGA ZrPaHg, optimized geometry
data_ZrPaHg
_space_group_name_H-M_alt 'I 4 m m'
_space_group_IT_number 107
_space_group_name_Hall 'I 4 -2'
_cell_length_a 3.1301
_cell_length_b 3.1301
_cell_length_c 14.3973
_cell_angle_alpha 90.00
_cell_angle_beta 90.00
_cell_angle_gamma 90.00
loop_
_atom_site_label
_atom_site_type_symbol
_atom_site_fract_x
_atom_site_fract_y
_atom_site_fract_z
Zr1 Zr 0.0000 0.0000 0.0000
Pa1 Pa 0.0000 0.0000 0.6672
Hg1 Hg 0.0000 0.0000 0.3428
# - energy relative to the elements (eV/atom) = -0.05
# - total magnetic moment (μB per atom) = 0.00
# - density of states at the Fermi level (states/eV/cell) = 7.5
# - V (Å³/f.u.) = 71

=====

# 11
# PBE-GGA ScTi, optimized geometry
data_ScTi
_space_group_name_H-M_alt 'I -4 3 m'
_space_group_IT_number 217
_space_group_name_Hall 'I -4 2 3'
_cell_length_a 8.3717
_cell_length_b 8.3717
_cell_length_c 8.3717
_cell_angle_alpha 90.00
_cell_angle_beta 90.00
_cell_angle_gamma 90.00
loop_
_atom_site_label
_atom_site_type_symbol
_atom_site_fract_x
_atom_site_fract_y
_atom_site_fract_z
Sc1 Sc 0.2082 0.2082 0.2082
Ti1 Ti 0.1060 0.1060 0.8940
# - energy relative to the elements (eV/atom) = 1.47
# - total magnetic moment (μB per atom) = 0.00
# - density of states at the Fermi level (states/eV/cell) = 34.2
# - V (Å³/f.u.) = 73

=====

# 12
# PBE-GGA HRu8, optimized geometry
data_HRu8
_space_group_name_H-M_alt 'P -3 m 1'
_space_group_IT_number 164
_space_group_name_Hall '-P 3 2"'
_cell_length_a 5.5047
_cell_length_b 5.5047
_cell_length_c 4.3166
_cell_angle_alpha 90.00
_cell_angle_beta 90.00
_cell_angle_gamma 120.00
loop_
_atom_site_label
_atom_site_type_symbol
_atom_site_fract_x
_atom_site_fract_y
_atom_site_fract_z
H1 H 0.0000 0.0000 0.0000
Ru1 Ru 0.1709 0.3418 0.7466
Ru2 Ru 0.3333 0.6667 0.2489
# - total magnetic moment (μB per atom) = 0.00
# - E (eV/f.u.) = -77.322
# - density of states at the Fermi level (states/eV/cell) = 9.9
# - V (Å³/f.u.) = 113

=====

Copy entry 5 word for word.
# PBE-GGA NaZn2Re, optimized geometry
data_NaZn2Re
_space_group_name_H-M_alt 'F m -3 m'
_space_group_IT_number 225
_space_group_name_Hall '-F 4 2 3'
_cell_length_a 6.3790
_cell_length_b 6.3790
_cell_length_c 6.3790
_cell_angle_alpha 90.00
_cell_angle_beta 90.00
_cell_angle_gamma 90.00
loop_
_atom_site_label
_atom_site_type_symbol
_atom_site_fract_x
_atom_site_fract_y
_atom_site_fract_z
Na1 Na 0.0000 0.0000 0.0000
Zn1 Zn 0.2500 0.2500 0.2500
Re1 Re 0.0000 0.0000 0.5000
# - energy relative to the elements (eV/atom) = 0.64
# - total magnetic moment (μB per atom) = 0.41
# - density of states at the Fermi level (states/eV/cell) = 9.1
# - V (Å³/f.u.) = 65

=====

Question: Which value of density of states at the Fermi level does entry 9 give?
Answer: 54.2 states/eV/cell

=====

Question: Among the records above, which one has the highest density of states at the Fermi level?
Answer: Li5Eu3I12